1.
Compound: V2CrPt
Source: the Alexandria database
Functional: PBE
Structure: optimized geometry

```
data_V2CrPt
_chemical_formula_sum 'V2 Cr1 Pt1'
_space_group_name_H-M_alt 'P 4/m m m'
_space_group_IT_number 123
_space_group_name_Hall '-P 4 2'
_cell_length_a 4.075
_cell_length_b 4.075
_cell_length_c 3.281
_cell_angle_alpha 90.00
_cell_angle_beta 90.00
_cell_angle_gamma 90.00
loop_
_atom_site_label
_atom_site_type_symbol
_atom_site_fract_x
_atom_site_fract_y
_atom_site_fract_z
V1 V 0.000 0.500 0.000
Cr1 Cr 0.000 0.000 0.500
Pt1 Pt 0.500 0.500 0.500
```

The calculation puts the energy relative to the elements at -0.212 eV per atom. As for the total energy: -34.75 eV per formula unit.

---

2.
Compound: VCr2Pt2
Source: the Alexandria database
Functional: PBE
Structure: optimized geometry

```
data_VCr2Pt2
_chemical_formula_sum 'V2 Cr4 Pt4'
_space_group_name_H-M_alt 'P 4/m b m'
_space_group_IT_number 127
_space_group_name_Hall '-P 4 2ab'
_cell_length_a 6.040
_cell_length_b 6.040
_cell_length_c 3.853
_cell_angle_alpha 90.00
_cell_angle_beta 90.00
_cell_angle_gamma 90.00
loop_
_atom_site_label
_atom_site_type_symbol
_atom_site_fract_x
_atom_site_fract_y
_atom_site_fract_z
V1 V 0.000 0.000 0.000
Cr1 Cr 0.132 0.368 0.000
Pt1 Pt 0.167 0.667 0.500
```

The calculation puts the energy relative to the elements at 0.045 eV per atom. As for the total energy: -40.22 eV per formula unit.

---

3.
Compound: V2CrPt2
Source: the Alexandria database
Functional: PBE
Structure: optimized geometry

```
data_V2CrPt2
_chemical_formula_sum 'V4 Cr2 Pt4'
_space_group_name_H-M_alt 'P 4/m b m'
_space_group_IT_number 127
_space_group_name_Hall '-P 4 2ab'
_cell_length_a 7.398
_cell_length_b 7.398
_cell_length_c 2.821
_cell_angle_alpha 90.00
_cell_angle_beta 90.00
_cell_angle_gamma 90.00
loop_
_atom_site_label
_atom_site_type_symbol
_atom_site_fract_x
_atom_site_fract_y
_atom_site_fract_z
V1 V 0.170 0.330 0.000
Cr1 Cr 0.000 0.000 0.500
Pt1 Pt 0.130 0.630 0.500
```

The calculation puts the energy relative to the elements at -0.149 eV per atom. As for the total energy: -40.69 eV per formula unit.

---

4.
Compound: V3CrPt12
Source: the Alexandria database
Functional: PBE
Structure: optimized geometry

```
data_V3CrPt12
_chemical_formula_sum 'V3 Cr1 Pt12'
_space_group_name_H-M_alt 'P 4/m m m'
_space_group_IT_number 123
_space_group_name_Hall '-P 4 2'
_cell_length_a 3.917
_cell_length_b 3.917
_cell_length_c 15.713
_cell_angle_alpha 90.00
_cell_angle_beta 90.00
_cell_angle_gamma 90.00
loop_
_atom_site_label
_atom_site_type_symbol
_atom_site_fract_x
_atom_site_fract_y
_atom_site_fract_z
V1 V 0.000 0.000 0.000
V2 V 0.000 0.000 0.253
Cr1 Cr 0.000 0.000 0.500
Pt1 Pt 0.000 0.500 0.124
Pt2 Pt 0.000 0.500 0.373
Pt3 Pt 0.500 0.500 0.000
Pt4 Pt 0.500 0.500 0.249
Pt5 Pt 0.500 0.500 0.500
```

The calculation puts the energy relative to the elements at -0.422 eV per atom. As for the total energy: -116.22 eV per formula unit.